Model i:
Density functional theory data (PBE) for crystalline YHgOs3 at its relaxed geometry.

Properties
crystal system: cubic
magnetic moment: 2.3 μB per cell
V: 118 Å³ per cell
DOS(E_F): 8.33 states/eV/f.u.

Cell lengths 4.9074, 4.9074, 4.9074 Å; angles 90.00, 90.00, 90.00 degrees
Last column: nearest neighbours and their distance in Å.
Element x y z (fractional)
Os1 0.0000 0.5000 0.0000  2 Hg 2.45
Os2 0.0000 0.0000 0.5000  2 Hg 2.45
Os3 0.5000 0.0000 0.0000  2 Hg 2.45
Hg1 0.0000 0.0000 0.0000  6 Os 2.45
Y1 0.5000 0.5000 0.5000  12 Os 3.47

=====

Model ii:
Density functional theory data (PBE) for crystalline YHgOs3 at its relaxed geometry.

Properties
crystal system: cubic
magnetic moment: 4.8 μB per cell
V: 122 Å³ per cell
DOS(E_F): 3.69 states/eV/f.u.

Cell lengths 4.9621, 4.9621, 4.9621 Å; angles 90.00, 90.00, 90.00 degrees
Last column: nearest neighbours and their distance in Å.
Element x y z (fractional)
Os1 0.0000 0.0000 0.5000  2 Y 2.48
Hg1 0.5000 0.5000 0.5000  12 Os 3.51
Y1 0.0000 0.0000 0.0000  6 Os 2.48
Os2 0.0000 0.5000 0.0000  2 Y 2.48
Os3 0.5000 0.0000 0.0000  2 Y 2.48

=====

Stability check: which of them is least stable? model ii.